A plane-wave DFT calculation with PBE was carried out for Mg3Cd6Ag after structural relaxation.

Results
Total DFT energy (no corrections): -1.364 eV/atom
E_form: -0.052 eV per atom
Space group: P-1, No. 2

Cell lengths 3.255, 5.858, 11.987 Å; angles 77.89, 84.67, 75.81 degrees
Atoms (fractional coordinates):
Mg (0.000, 0.000, 0.000)
Mg (0.343, 0.365, 0.416)
Mg (0.657, 0.635, 0.584)
Cd (0.086, 0.908, 0.386)
Cd (0.278, 0.326, 0.789)
Cd (0.496, 0.212, 0.187)
Cd (0.504, 0.788, 0.813)
Cd (0.722, 0.674, 0.211)
Cd (0.914, 0.092, 0.614)
Ag (0.000, 0.500, 0.000)



A plane-wave DFT calculation with PBE was carried out for Be2WSe after structural relaxation.

Results
Total DFT energy (no corrections): -5.722 eV/atom
ΔE_f (raw): 0.250 eV per atom
Space group: P4/mmm, No. 123

Cell lengths 3.227, 3.227, 4.914 Å; angles 90.00, 90.00, 90.00 degrees
Atoms (fractional coordinates):
Be (0.000, 0.000, 0.219)
Be (0.000, 0.000, 0.781)
W (0.500, 0.500, 0.000)
Se (0.500, 0.500, 0.500)